Record 1
A plane-wave DFT calculation with PBE was carried out for crystalline Ac6Si2I3Cl at its relaxed geometry.

Values from the calculation:
Formation energy without anion corrections ... -97.9 kJ per mole of atoms

```
Ac6Si2I3Cl
1.0
7.730 -0.008 -0.003
-3.870 6.692 -0.003
-1.290 -2.234 8.325
Ac I Si Cl
6 3 2 1
direct
0.067 0.408 0.201
0.727 0.727 0.201
0.592 0.933 0.799
0.933 0.592 0.799
0.408 0.067 0.201
0.273 0.273 0.799
0.169 0.831 0.500
0.500 0.500 0.500
0.831 0.169 0.500
0.334 0.666 0.000
0.666 0.334 0.000
0.000 0.000 0.000
```

---

Record 2
A plane-wave DFT calculation with PBE was carried out for crystalline Be2TeP at its relaxed geometry.

Values from the calculation:
Formation energy without anion corrections ... -6.5 kJ per mole of atoms

```
Be2TeP
1.0
3.781 -0.021 0.003
2.279 3.018 0.003
2.741 1.355 5.985
Be Te P
2 1 1
direct
0.090 0.090 0.379
0.075 0.075 0.038
0.891 0.891 0.799
0.444 0.444 0.284
```

---

Record 3
A plane-wave DFT calculation with PBE was carried out for crystalline TcMo2HPt at its relaxed geometry.

Values from the calculation:
VASP energy ... -0.3063 Ha/atom

```
TcMo2HPt
1.0
4.007 0.000 0.000
0.000 4.007 0.000
0.000 0.000 3.950
Mo Tc H Pt
2 1 1 1
direct
0.500 0.000 0.000
0.000 0.500 0.000
0.500 0.500 0.500
0.000 0.000 0.000
0.000 0.000 0.500
```

---

Record 4
A plane-wave DFT calculation with PBE was carried out for crystalline YTlO at its relaxed geometry.

Values from the calculation:
Formation energy without anion corrections ... -169.8 kJ per mole of atoms

```
YTlO
1.0
-1.162 4.626 -4.477
-3.655 -0.749 0.174
-0.264 2.669 5.945
Tl O Y
2 2 2
direct
0.038 0.500 0.243
0.038 0.000 0.743
0.542 0.500 0.225
0.542 0.000 0.725
0.520 0.500 0.886
0.520 0.000 0.386
```

---

Record 5
A plane-wave DFT calculation with PBE was carried out for crystalline BPdRu at its relaxed geometry.

Values from the calculation:
Formation energy ... 0.09 eV/atom

```
BPdRu
1.0
2.817 0.000 0.000
0.000 3.632 0.000
0.000 1.816 6.874
Ru Pd B
2 2 2
direct
0.250 0.296 0.407
0.750 0.704 0.593
0.750 0.913 0.175
0.250 0.087 0.825
0.250 0.455 0.090
0.750 0.545 0.910
```

---

Record 6
A plane-wave DFT calculation with PBE was carried out for crystalline PmPr3Ho2Er6 at its relaxed geometry.

Values from the calculation:
Formation energy ... 0.02 eV/atom

```
PmPr3Ho2Er6
1.0
-1.443 4.187 -4.338
-2.700 -5.580 -0.061
-7.139 4.509 8.198
Er Ho Pr Pm
6 2 3 1
direct
0.082 0.416 0.246
0.749 0.749 0.246
0.416 0.082 0.246
0.251 0.251 0.754
0.918 0.584 0.754
0.584 0.918 0.754
0.667 0.333 0.000
0.333 0.667 0.000
0.167 0.833 0.500
0.833 0.167 0.500
0.500 0.500 0.500
0.000 0.000 0.000
```

---

Record 7
A plane-wave DFT calculation with PBE was carried out for crystalline Zn2CrCl at its relaxed geometry.

Values from the calculation:
Formation energy without anion corrections ... 14.4 kJ per mole of atoms

```
Zn2CrCl
1.0
5.502 0.005 -0.016
2.141 5.069 0.016
-2.990 -3.790 2.640
Zn Cr Cl
2 1 1
direct
0.015 0.015 0.000
0.763 0.263 0.500
0.257 0.757 0.500
0.465 0.465 0.000
```

---

Record 8
A plane-wave DFT calculation with PBE was carried out for crystalline CaSnSbI2 at its relaxed geometry.

Values from the calculation:
Formation energy without anion corrections ... -13.5 kJ per mole of atoms

```
CaSnSbI2
1.0
5.785 0.000 0.000
0.000 5.785 0.000
0.000 0.000 6.338
Ca Sn I Sb
1 1 2 1
direct
0.000 0.000 0.000
0.500 0.500 0.500
0.000 0.500 0.000
0.500 0.000 0.000
0.000 0.000 0.500
```